Material: Mo2AsIr
Method: DFT, GGA-PBEsol
State: optimized geometry

a = 3.0745 Å, b = 3.0745 Å, c = 6.3396 Å
α = 90.00°, β = 90.00°, γ = 90.00°
Closest atoms and distances in Å follow each position.
Fractional coordinates of all 4 atoms:
Mo 0.0000 0.0000 0.0005  4 Ir 2.67, 4 Mo 2.76
Mo 0.5000 0.5000 0.2681  4 As 2.54, 4 Mo 2.76
Ir 0.5000 0.5000 0.7551  4 Mo 2.67, 4 As 2.80
As 0.0000 0.0000 0.4763  4 Mo 2.54, 4 Ir 2.80

Results
Symmetry: P4mm
Energy of formation from the pure elements (eV per atom): 0.06
ΔE to the lowest computed polymorph (eV per atom): 0.2247
Magnetization (μB/cell): 0.00
E_tot (eV per atom): -9.555

Material: Mo2AsIr
Method: DFT, GGA-PBEsol
State: optimized geometry

a = 2.8119 Å, b = 2.8119 Å, c = 8.8056 Å
α = 80.81°, β = 80.81°, γ = 60.00°
Closest atoms and distances in Å follow each position.
Fractional coordinates of all 4 atoms:
Mo 0.2490 0.2490 0.2531  3 As 2.68, 3 Ir 2.73, 6 Mo 2.81
Mo 0.7510 0.7510 0.7469  3 As 2.68, 3 Ir 2.73, 6 Mo 2.81
Ir 0.0000 0.0000 0.0000  6 Mo 2.73, 6 Ir 2.81
As 0.5000 0.5000 0.5000  6 Mo 2.68, 6 As 2.81

Results
Symmetry: R-3m
Energy of formation from the pure elements (eV per atom): 0.03
ΔE to the lowest computed polymorph (eV per atom): 0.1975
Magnetization (μB/cell): 0.00
E_tot (eV per atom): -9.582

Material: Mo2AsIr
Method: DFT, GGA-PBEsol
State: optimized geometry

a = 4.3897 Å, b = 4.3897 Å, c = 4.3897 Å
α = 60.00°, β = 60.00°, γ = 60.00°
Closest atoms and distances in Å follow each position.
Fractional coordinates of all 4 atoms:
Mo 0.0000 0.0000 0.0000  4 Ir 2.69, 4 Mo 2.69
Mo 0.2500 0.2500 0.2500  4 Mo 2.69, 4 As 2.69
Ir 0.7500 0.7500 0.7500  4 As 2.69, 4 Mo 2.69
As 0.5000 0.5000 0.5000  4 Mo 2.69, 4 Ir 2.69

Results
Symmetry: F-43m
Energy of formation from the pure elements (eV per atom): 0.26
ΔE to the lowest computed polymorph (eV per atom): 0.4199
Magnetization (μB/cell): 0.00
E_tot (eV per atom): -9.359

Material: MoAsIr2
Method: DFT, GGA-PBEsol
State: optimized geometry

a = 2.8131 Å, b = 2.8131 Å, c = 8.6698 Å
α = 80.66°, β = 80.66°, γ = 60.00°
Closest atoms and distances in Å follow each position.
Fractional coordinates of all 4 atoms:
Mo 0.4990 0.4990 0.5029  3 Ir 2.66, 3 As 2.69, 6 Mo 2.81
Ir 0.0044 0.0044 0.9869  3 As 2.56, 9 Ir 2.81
Ir 0.2480 0.2480 0.2559  3 Mo 2.66, 9 Ir 2.81
As 0.7486 0.7486 0.7543  3 Ir 2.56, 3 Mo 2.69, 6 As 2.81

Results
Symmetry: R3m
Energy of formation from the pure elements (eV per atom): 0.07
Magnetization (μB/cell): 0.00
E_tot (eV per atom): -9.065

Material: Mo2AsIr
Method: DFT, GGA-PBEsol
State: optimized geometry

a = 2.9180 Å, b = 2.9180 Å, c = 6.8179 Å
α = 90.00°, β = 90.00°, γ = 90.00°
Closest atoms and distances in Å follow each position.
Fractional coordinates of all 4 atoms:
Mo 0.0000 0.0000 0.7665  4 As 2.61, 4 Ir 2.75, 4 Mo 2.92
Mo 0.0000 0.0000 0.2335  4 As 2.61, 4 Ir 2.75, 4 Mo 2.92
Ir 0.5000 0.5000 0.5000  8 Mo 2.75, 4 Ir 2.92
As 0.5000 0.5000 0.0000  8 Mo 2.61, 4 As 2.92

Results
Symmetry: P4/mmm
Energy of formation from the pure elements (eV per atom): -0.16
ΔE to the lowest computed polymorph (eV per atom): 0.0000
Magnetization (μB/cell): 0.00
E_tot (eV per atom): -9.779

Material: MoAs3Ir
Method: DFT, GGA-PBEsol
State: optimized geometry

a = 4.7344 Å, b = 4.7344 Å, c = 4.7344 Å
α = 90.00°, β = 90.00°, γ = 90.00°
Closest atoms and distances in Å follow each position.
Fractional coordinates of all 5 atoms:
Mo 0.5000 0.5000 0.5000  12 As 3.35
Ir 0.0000 0.0000 0.0000  6 As 2.37
As 0.0000 0.5000 0.0000  2 Ir 2.37
As 0.0000 0.0000 0.5000  2 Ir 2.37
As 0.5000 0.0000 0.0000  2 Ir 2.37

Results
Symmetry: Pm-3m
Energy of formation from the pure elements (eV per atom): 1.18
Magnetization (μB/cell): 2.28
E_tot (eV per atom): -6.197

Material: Te2AsIrN
Method: DFT, GGA-PBEsol
State: optimized geometry

a = 3.6456 Å, b = 5.3821 Å, c = 5.3821 Å
α = 90.00°, β = 90.00°, γ = 90.00°
Closest atoms and distances in Å follow each position.
Fractional coordinates of all 5 atoms:
As 0.5000 0.5000 0.5000  8 Te 3.25
Ir 0.0000 0.0000 0.0000  2 N 1.82
Te 0.0000 0.0000 0.5000  2 Ir 2.69
Te 0.0000 0.5000 0.0000  2 Ir 2.69
N 0.5000 0.0000 0.0000  2 Ir 1.82

Results
Symmetry: P4/mmm
Energy relative to the elements, uncorrected (eV per atom): 0.40
Magnetization (μB/cell): 0.00
E_tot (eV per atom): -5.704

Material: NaAs2Ir2
Method: DFT, GGA-PBEsol
State: optimized geometry

a = 4.0072 Å, b = 4.0072 Å, c = 6.6233 Å
α = 107.61°, β = 107.61°, γ = 90.00°
Closest atoms and distances in Å follow each position.
Fractional coordinates of all 5 atoms:
Na 0.0000 0.0000 0.0000  8 As 3.25, 8 Ir 3.60
As 0.3673 0.3673 0.7346  4 Ir 2.45
As 0.6327 0.6327 0.2654  4 Ir 2.45
Ir 0.2500 0.7500 0.5000  4 As 2.45
Ir 0.7500 0.2500 0.5000  4 As 2.45

Results
Symmetry: I4/mmm
Energy of formation from the pure elements (eV per atom): -0.33
Magnetization (μB/cell): 0.00
E_tot (eV per atom): -6.577